This record from OQMD describes a relaxed CoPbSO crystal. The functional is PBE with a Hubbard U.

Cell and atoms, written as POSCAR:
```
CoPbSO
1.0
4.226 0.000 0.000
0.000 4.226 0.000
0.000 0.000 7.876
Co O Pb S
2 2 2 2
Cartesian
0.000 2.113 3.022
2.113 0.000 4.854
0.000 2.113 0.996
2.113 0.000 6.880
2.113 0.000 1.216
0.000 2.113 6.660
0.000 0.000 3.938
2.113 2.113 3.938
```

ΔE to the lowest computed polymorph, meV per atom: 345.0
Total DFT energy (no corrections), hartree per atom: -0.179